Computed, not measured: a geometry-optimized Zn2ReSb structure at the GGA-PBE level of DFT.

abc: 3.545 3.545 5.342
angles: 90.00 90.00 90.00
Fractional coordinates of all 4 atoms:
Re  0.500  0.500  0.250
Sb  0.500  0.500  0.750
Zn  0.000  0.000  0.022
Zn  0.000  0.000  0.478

E_tot   -17.60 eV per cell
M_tot   0.00 μB per formula unit
Space-group type   No. 123
ΔE_f (raw)   381 meV/atom

=====

Computed, not measured: a geometry-optimized Zr4ReSb structure at the GGA-PBE level of DFT.

abc: 5.635 5.635 5.635
angles: 60.00 60.00 60.00
Fractional coordinates of all 6 atoms:
Zr  0.871  0.376  0.376
Zr  0.376  0.376  0.871
Zr  0.376  0.871  0.376
Zr  0.376  0.376  0.376
Re  0.750  0.750  0.750
Sb  0.000  0.000  0.000

E_tot   -48.13 eV per cell
M_tot   0.00 μB per formula unit
Space-group type   No. 216
ΔE_f (raw)   439 meV/atom

=====

Computed, not measured: a geometry-optimized Zr2ReSb structure at the GGA-PBE level of DFT.

abc: 4.791 4.791 4.791
angles: 60.00 60.00 60.00
Last column: magnetic moment on the atom in μB.
Fractional coordinates of all 4 atoms:
Re  0.500  0.500  0.500  0.03
Sb  0.750  0.750  0.750  0.00
Zr  0.000  0.000  0.000  0.49
Zr  0.250  0.250  0.250  0.14

E_tot   -33.61 eV per cell
M_tot   0.90 μB per formula unit
Space-group type   No. 216
ΔE_f (raw)   15 meV/atom

=====

Computed, not measured: a geometry-optimized ZrReSb2 structure at the GGA-PBE level of DFT.

abc: 4.279 4.279 10.270
angles: 77.98 77.98 90.00
Fractional coordinates of all 8 atoms:
Re  0.000  0.000  0.000
Re  0.750  0.250  0.500
Zr  0.500  0.500  0.000
Zr  0.250  0.750  0.500
Sb  0.641  0.125  0.250
Sb  0.109  0.625  0.250
Sb  0.375  0.359  0.750
Sb  0.875  0.891  0.750

E_tot   -55.17 eV per cell
M_tot   0.00 μB per formula unit
Energy above the most stable polymorph in this dataset   495.9 meV per atom
Space-group type   No. 122
ΔE_f (raw)   415 meV/atom